# 1
Material: Y5In4Pd
Method: DFT, PBE
State: relaxed

a = 3.5484 Å, b = 3.5484 Å, c = 20.4099 Å
α = 90.00°, β = 90.00°, γ = 90.00°
Space group P4/mmm (No. 123)
Symmetry-distinct sites (fractional):
Y1 0.0000 0.0000 0.0000
Y2 0.0000 0.0000 0.2079
Y3 0.0000 0.0000 0.4157
In1 0.5000 0.5000 0.1038
In2 0.5000 0.5000 0.3110
Pd1 0.5000 0.5000 0.5000

energy relative to the elements	-0.5837	eV per atom
D(E_F)	0.486	states/eV/atom

# 2
Material: Sr2Ga2S5
Method: DFT, PBE
State: relaxed

a = 11.3023 Å, b = 12.6520 Å, c = 12.1406 Å
α = 90.00°, β = 90.00°, γ = 90.00°
Space group Pbca (No. 61)
Symmetry-distinct sites (fractional):
Sr1 0.0021 0.1982 0.0223
Sr2 0.2471 0.6899 0.7535
Ga1 0.0592 0.0491 0.2952
Ga2 0.2240 0.5287 0.0361
S1 0.0075 0.2196 0.2747
S2 0.0718 0.0630 0.6174
S3 0.0963 0.5237 0.6195
S4 0.2350 0.7063 0.0139
S5 0.2504 0.0382 0.3616

formation energy (no corrections)	-31.85	kcal/mol of atoms
D(E_F)	0.000	states/eV/atom

# 3
Material: LiCrOs2
Method: DFT, PBE
State: relaxed

a = 4.1772 Å, b = 4.1772 Å, c = 2.8918 Å
α = 90.00°, β = 90.00°, γ = 90.00°
Space group P4/mmm (No. 123)
Symmetry-distinct sites (fractional):
Li1 0.0000 0.0000 0.0000
Cr1 0.5000 0.5000 0.0000
Os1 0.0000 0.5000 0.5000

E above lowest polymorph	0.191	eV/atom
energy relative to the elements	0.2986	eV per atom
D(E_F)	1.046	states/eV/atom